# ZrAgS2N, relaxed, DFT PBE
data_ZrAgS2N
_chemical_formula_sum 'Zr1 Ag1 S2 N1'
_cell_length_a 5.0674
_cell_length_b 5.0674
_cell_length_c 4.2222
_cell_angle_alpha 90.00
_cell_angle_beta 90.00
_cell_angle_gamma 90.00
_symmetry_space_group_name_H-M 'P 4/m m m'
_symmetry_Int_Tables_number 123
_symmetry_space_group_name_Hall '-P 4 2'
loop_
_atom_site_label
_atom_site_fract_x
_atom_site_fract_y
_atom_site_fract_z
_atom_site_occupancy
Zr1 0.0000 0.0000 0.0000 1
Ag1 0.5000 0.5000 0.5000 1
S1 0.0000 0.5000 0.0000 1
N1 0.0000 0.0000 0.5000 1
# ΔE to the lowest computed polymorph	0	meV per atom
# formation energy from raw total energies	-11	meV per atom